Entry from the Alexandria database: Sr2MgAlAg at its PBEsol-relaxed geometry (SCAN).

Cell: 5.0443 6.1370 6.1370 Å, 90.00 90.00 90.00°
Last column: nearest neighbours and their distance in Å.
Positions (direct):
Al1 0.0000 0.0000 0.0000  2 Mg 2.52
Sr1 0.0000 0.0000 0.5000  2 Al 3.07
Sr2 0.0000 0.5000 0.0000  2 Al 3.07
Ag1 0.5000 0.5000 0.5000  8 Sr 3.97, 4 Mg 4.34
Mg1 0.5000 0.0000 0.0000  2 Al 2.52

Calculated values
The symmetry is P4/mmm, No. 123. The formation energy is 0.2348 eV per atom. The raw total energy comes out at -87.47 eV per cell. Its volume is 38.0 A^3/atom.